No. 1
A plane-wave DFT calculation with PBE was carried out for crystalline CaFeCl2 at its relaxed geometry.

Unit cell a=4.629 b=4.629 c=3.659 alpha=90.00 beta=90.00 gamma=90.00
Space group P4/mmm (No. 123)
Symmetry-distinct sites (fractional):
Ca (0.000, 0.000, 0.000) [1 per cell]
Fe (0.500, 0.500, 0.000) [1 per cell]
Cl (0.000, 0.500, 0.500) [2 per cell]

Results
* electronic total energy: -4.140 eV per atom
* energy relative to the elements, uncorrected: -601 meV/atom
* energy above the most stable polymorph in this dataset: 86.8 kJ/mol of formula units


No. 2
A plane-wave DFT calculation with PBE was carried out for crystalline SrNiIr2 at its relaxed geometry.

Unit cell a=4.327 b=2.860 c=11.673 alpha=90.00 beta=90.00 gamma=90.00
Space group Amm2 (No. 38)
Symmetry-distinct sites (fractional):
Sr (0.000, 0.000, 0.000) [2 per cell]
Ni (0.500, 0.000, 0.369) [2 per cell]
Ir (0.000, 0.000, 0.253) [2 per cell]
Ir (0.500, 0.000, 0.691) [2 per cell]

Results
* electronic total energy: -6.098 eV per atom
* formation enthalpy at 0 K: 0.79 eV per formula unit
* energy above the most stable polymorph in this dataset: 0.0 kJ/mol of formula units


No. 3
A plane-wave DFT calculation with PBE was carried out for crystalline RbTc2Ir2 at its relaxed geometry.

Unit cell a=4.566 b=4.566 c=9.686 alpha=90.00 beta=90.00 gamma=90.00
Space group I4/mmm (No. 139)
Symmetry-distinct sites (fractional):
Rb (0.000, 0.000, 0.000) [2 per cell]
Tc (0.000, 0.000, 0.368) [4 per cell]
Ir (0.000, 0.500, 0.250) [4 per cell]

Results
* electronic total energy: -7.099 eV per atom
* formation enthalpy at 0 K: 3.92 eV per formula unit
* energy above the most stable polymorph in this dataset: 144.8 kJ/mol of formula units


No. 4
A plane-wave DFT calculation with PBE was carried out for crystalline YH6Pd7 at its relaxed geometry.

Unit cell a=5.0796 b=5.0796 c=21.6735 alpha=90.00 beta=90.00 gamma=120.00
Space group R3 (No. 146, hexagonal axes)
Symmetry-distinct sites (fractional):
Y (0.0000, 0.0000, 0.0000) [3 per cell]
H (0.0022, 0.3400, 0.9201) [9 per cell]
H (0.0049, 0.6801, 0.4124) [9 per cell]
Pd (0.0000, 0.0000, 0.6664) [3 per cell]
Pd (0.0002, 0.6652, 0.8884) [9 per cell]
Pd (0.0012, 0.3318, 0.7778) [9 per cell]

Results
* electronic total energy: -4.756 eV per atom


No. 5
A plane-wave DFT calculation with PBE was carried out for crystalline K2YFe at its relaxed geometry.

Unit cell a=4.498 b=4.498 c=6.587 alpha=90.00 beta=90.00 gamma=90.00
Space group P4/mmm (No. 123)
Symmetry-distinct sites (fractional):
K (0.000, 0.500, 0.000) [2 per cell]
Y (0.000, 0.000, 0.500) [1 per cell]
Fe (0.500, 0.500, 0.500) [1 per cell]

Results
* electronic total energy: -3.384 eV per atom
* formation enthalpy at 0 K: 3.58 eV per formula unit
* energy above the most stable polymorph in this dataset: 152.1 kJ/mol of formula units


No. 6
A plane-wave DFT calculation with PBE was carried out for crystalline SiSe5 at its relaxed geometry.

Unit cell a=5.1162 b=5.1162 c=8.4737 alpha=90.00 beta=90.00 gamma=120.00
Space group P6/mmm (No. 191)
Symmetry-distinct sites (fractional):
Si (0.0000, 0.0000, 0.0000) [1 per cell]
Se (0.0000, 0.5000, 0.5000) [3 per cell]
Se (0.3333, 0.6667, 0.0000) [2 per cell]

Results
* electronic total energy: -3.111 eV per atom
* energy relative to the elements, uncorrected: 696 meV/atom
* energy above the most stable polymorph in this dataset: 430.2 kJ/mol of formula units


No. 7
A plane-wave DFT calculation with PBE was carried out for crystalline Nd5Y3Ag12 at its relaxed geometry.

Unit cell a=17.128 b=17.128 c=17.128 alpha=90.00 beta=90.00 gamma=90.00
Space group Ia-3d (No. 230)
Symmetry-distinct sites (fractional):
Nd (0.000, 0.000, 0.000) [16 per cell]
Nd (0.000, 0.250, 0.375) [24 per cell]
Y (0.000, 0.250, 0.125) [24 per cell]
Ag (0.000, 0.079, 0.154) [96 per cell]

Results
* electronic total energy: -3.675 eV per atom
* formation enthalpy at 0 K: 3.94 eV per formula unit


No. 8
A plane-wave DFT calculation with PBE was carried out for crystalline TbPrSm2 at its relaxed geometry.

Unit cell a=5.654 b=3.582 c=13.441 alpha=90.00 beta=90.00 gamma=90.00
Space group Amm2 (No. 38)
Symmetry-distinct sites (fractional):
Tb (0.000, 0.000, 0.000) [2 per cell]
Pr (0.500, 0.000, 0.355) [2 per cell]
Sm (0.000, 0.000, 0.738) [2 per cell]
Sm (0.500, 0.000, 0.612) [2 per cell]

Results
* electronic total energy: -4.665 eV per atom
* formation enthalpy at 0 K: 0.19 eV per formula unit
* energy above the most stable polymorph in this dataset: 12.3 kJ/mol of formula units


No. 9
A plane-wave DFT calculation with PBE was carried out for crystalline LiReSe at its relaxed geometry.

Unit cell a=3.166 b=3.166 c=8.523 alpha=90.00 beta=90.00 gamma=90.00
Space group I4mm (No. 107)
Symmetry-distinct sites (fractional):
Li (0.000, 0.000, 0.000) [2 per cell]
Re (0.000, 0.000, 0.684) [2 per cell]
Se (0.000, 0.000, 0.326) [2 per cell]

Results
* electronic total energy: -5.859 eV per atom
* energy relative to the elements, uncorrected: 90 meV/atom
* energy above the most stable polymorph in this dataset: 0.0 kJ/mol of formula units


No. 10
A plane-wave DFT calculation with PBE was carried out for crystalline KLaRe2 at its relaxed geometry.

Unit cell a=7.306 b=4.216 c=9.174 alpha=90.00 beta=104.55 gamma=90.00
Space group Cm (No. 8)
Symmetry-distinct sites (fractional):
K (0.000, 0.000, 0.000) [2 per cell]
La (0.166, 0.000, 0.528) [2 per cell]
Re (0.255, 0.500, 0.279) [2 per cell]
Re (0.436, 0.000, 0.327) [2 per cell]

Results
* electronic total energy: -7.225 eV per atom
* formation enthalpy at 0 K: 2.02 eV per formula unit
* energy above the most stable polymorph in this dataset: 0.0 kJ/mol of formula units


No. 11
A plane-wave DFT calculation with PBE was carried out for crystalline ScRh2W at its relaxed geometry.

Unit cell a=7.138 b=7.138 c=5.589 alpha=90.00 beta=90.00 gamma=90.00
Space group I-42d (No. 122)
Symmetry-distinct sites (fractional):
Sc (0.000, 0.000, 0.000) [4 per cell]
Rh (0.217, 0.250, 0.625) [8 per cell]
W (0.000, 0.000, 0.500) [4 per cell]

Results
* electronic total energy: -8.438 eV per atom
* formation enthalpy at 0 K: 0.24 eV per formula unit
* energy above the most stable polymorph in this dataset: 192.4 kJ/mol of formula units


No. 12
A plane-wave DFT calculation with PBE was carried out for crystalline LaHo2ErS4 at its relaxed geometry.

Unit cell a=6.848 b=3.905 c=6.892 alpha=90.00 beta=108.94 gamma=90.00
Space group P2/m (No. 10)
Symmetry-distinct sites (fractional):
La (0.000, 0.000, 0.000) [1 per cell]
Ho (0.500, 0.000, 0.500) [1 per cell]
Ho (0.500, 0.500, 0.000) [1 per cell]
Er (0.000, 0.500, 0.500) [1 per cell]
S (0.255, 0.000, 0.741) [2 per cell]
S (0.264, 0.500, 0.265) [2 per cell]

Results
* electronic total energy: -6.396 eV per atom
* energy relative to the elements, uncorrected: -2002 meV/atom


No. 13
A plane-wave DFT calculation with PBE was carried out for crystalline Rb2Hg2Cl5 at its relaxed geometry.

Unit cell a=15.026 b=5.509 c=8.049 alpha=90.00 beta=114.98 gamma=90.00
Space group C2/m (No. 12)
Symmetry-distinct sites (fractional):
Rb (0.110, 0.000, 0.297) [4 per cell]
Hg (0.132, 0.500, 0.853) [4 per cell]
Cl (0.000, 0.500, 0.000) [2 per cell]
Cl (0.144, 0.000, 0.899) [4 per cell]
Cl (0.149, 0.500, 0.543) [4 per cell]

Results
* electronic total energy: -2.435 eV per atom
* energy relative to the elements, uncorrected: -1127 meV/atom
* energy above the most stable polymorph in this dataset: 5.4 kJ/mol of formula units


No. 14
A plane-wave DFT calculation with PBE was carried out for crystalline Rb2AuF6 at its relaxed geometry.

Unit cell a=6.508 b=8.062 c=8.040 alpha=90.00 beta=119.03 gamma=90.00
Space group P2_1/c (No. 14)
Symmetry-distinct sites (fractional):
Rb (0.181, 0.062, 0.307) [4 per cell]
Au (0.500, 0.000, 0.000) [2 per cell]
F (0.184, 0.130, 0.965) [4 per cell]
F (0.324, 0.712, 0.450) [4 per cell]
F (0.381, 0.027, 0.723) [4 per cell]

Results
* electronic total energy: -3.687 eV per atom
* energy relative to the elements, uncorrected: -1861 meV/atom


No. 15
A plane-wave DFT calculation with PBE was carried out for crystalline Zn2RuRh at its relaxed geometry.

Unit cell a=2.752 b=3.771 c=5.423 alpha=90.00 beta=90.00 gamma=90.00
Space group Pmm2 (No. 25)
Symmetry-distinct sites (fractional):
Zn (0.000, 0.000, 0.000) [1 per cell]
Zn (0.500, 0.500, 0.251) [1 per cell]
Ru (0.500, 0.500, 0.748) [1 per cell]
Rh (0.000, 0.000, 0.502) [1 per cell]

Results
* electronic total energy: -4.854 eV per atom
* formation enthalpy at 0 K: -0.24 eV per formula unit


No. 16
A plane-wave DFT calculation with PBE was carried out for crystalline CuNi2Os at its relaxed geometry.

Unit cell a=2.630 b=2.630 c=6.983 alpha=90.00 beta=90.00 gamma=90.00
Space group P4/mmm (No. 123)
Symmetry-distinct sites (fractional):
Cu (0.000, 0.000, 0.000) [1 per cell]
Ni (0.500, 0.500, 0.247) [2 per cell]
Os (0.000, 0.000, 0.500) [1 per cell]

Results
* electronic total energy: -6.631 eV per atom
* formation enthalpy at 0 K: 0.37 eV per formula unit
* energy above the most stable polymorph in this dataset: 0.0 kJ/mol of formula units


No. 17
A plane-wave DFT calculation with PBE was carried out for crystalline NdSmDyGa at its relaxed geometry.

Unit cell a=7.651 b=7.651 c=7.651 alpha=90.00 beta=90.00 gamma=90.00
Space group F-43m (No. 216)
Symmetry-distinct sites (fractional):
Nd (0.000, 0.000, 0.000) [4 per cell]
Sm (0.000, 0.000, 0.500) [4 per cell]
Dy (0.250, 0.250, 0.750) [4 per cell]
Ga (0.250, 0.250, 0.250) [4 per cell]

Results
* electronic total energy: -4.369 eV per atom
* formation enthalpy at 0 K: -0.36 eV per formula unit


No. 18
A plane-wave DFT calculation with PBE was carried out for crystalline GaNiIrPd at its relaxed geometry.

Unit cell a=6.039 b=6.039 c=6.039 alpha=90.00 beta=90.00 gamma=90.00
Space group F-43m (No. 216)
Symmetry-distinct sites (fractional):
Ga (0.000, 0.000, 0.000) [4 per cell]
Ni (0.000, 0.000, 0.500) [4 per cell]
Ir (0.250, 0.250, 0.250) [4 per cell]
Pd (0.250, 0.250, 0.750) [4 per cell]

Results
* electronic total energy: -5.960 eV per atom
* formation enthalpy at 0 K: -0.98 eV per formula unit


No. 19
A plane-wave DFT calculation with PBE was carried out for crystalline Dy3Al4Zn4 at its relaxed geometry.

Unit cell a=27.171 b=3.712 c=4.377 alpha=90.00 beta=99.24 gamma=90.00
Space group C2/m (No. 12)
Symmetry-distinct sites (fractional):
Dy (0.000, 0.000, 0.000) [2 per cell]
Dy (0.146, 0.000, 0.647) [4 per cell]
Al (0.094, 0.500, 0.094) [4 per cell]
Al (0.245, 0.500, 0.746) [4 per cell]
Zn (0.047, 0.500, 0.548) [4 per cell]
Zn (0.188, 0.500, 0.188) [4 per cell]

Results
* electronic total energy: -3.484 eV per atom
* formation enthalpy at 0 K: -4.46 eV per formula unit


No. 20
A plane-wave DFT calculation with PBE was carried out for crystalline LaPbAu2 at its relaxed geometry.

Unit cell a=4.933 b=4.933 c=19.175 alpha=90.00 beta=90.00 gamma=90.00
Space group I-42d (No. 122)
Symmetry-distinct sites (fractional):
La (0.000, 0.000, 0.000) [4 per cell]
Pb (0.000, 0.000, 0.500) [4 per cell]
Au (0.191, 0.250, 0.625) [8 per cell]

Results
* electronic total energy: -4.085 eV per atom
* formation enthalpy at 0 K: -1.15 eV per formula unit


No. 21
A plane-wave DFT calculation with PBE was carried out for crystalline NpBRh4 at its relaxed geometry.

Unit cell a=4.295 b=14.485 c=5.856 alpha=90.00 beta=90.00 gamma=90.00
Space group Cmcm (No. 63)
Symmetry-distinct sites (fractional):
Np (0.000, 0.112, 0.250) [4 per cell]
B (0.000, 0.395, 0.250) [4 per cell]
Rh (0.000, 0.092, 0.750) [4 per cell]
Rh (0.000, 0.303, 0.504) [8 per cell]
Rh (0.000, 0.500, 0.000) [4 per cell]

Results
* electronic total energy: -8.475 eV per atom
* formation enthalpy at 0 K: -1.83 eV per formula unit


No. 22
A plane-wave DFT calculation with PBE was carried out for crystalline ScNi2Os at its relaxed geometry.

Unit cell a=3.862 b=3.862 c=7.387 alpha=90.00 beta=90.00 gamma=90.00
Space group I4/mmm (No. 139)
Symmetry-distinct sites (fractional):
Sc (0.000, 0.000, 0.000) [2 per cell]
Ni (0.000, 0.500, 0.250) [4 per cell]
Os (0.000, 0.000, 0.500) [2 per cell]

Results
* electronic total energy: -7.405 eV per atom
* formation enthalpy at 0 K: -0.49 eV per formula unit
* energy above the most stable polymorph in this dataset: 13.1 kJ/mol of formula units